CaMn2Cu | GGA-PBEsol | optimized geometry

Properties
E = -6.147 eV per atom
ρ = 5.532 g/cm³

Lattice parameters (Å, degrees): 3.0584 3.0584 6.8514 90.00 90.00 90.00
Space group P4mm (No. 99)
Unique sites:
Ca 0.0000 0.0000 0.0000 (multiplicity 1)
Mn 0.0000 0.0000 0.5049 (multiplicity 1)
Mn 0.5000 0.5000 0.6625 (multiplicity 1)
Cu 0.5000 0.5000 0.3002 (multiplicity 1)

---

TlTcRh2 | GGA-PBEsol | optimized geometry

Properties
ΔE to the lowest computed polymorph = 0.1287 eV per atom
ρ = 13.704 g/cm³

Lattice parameters (Å, degrees): 6.2685 6.2685 6.2685 90.00 90.00 90.00
Space group F-43m (No. 216)
Unique sites:
Tl 0.0000 0.0000 0.0000 (multiplicity 4)
Tc 0.2500 0.2500 0.2500 (multiplicity 4)
Rh 0.0000 0.0000 0.5000 (multiplicity 4)
Rh 0.2500 0.2500 0.7500 (multiplicity 4)

---

HgC3 | GGA-PBEsol | optimized geometry

Properties
ΔE to the lowest computed polymorph = 3.0249 eV per atom
ρ = 8.850 g/cm³

Lattice parameters (Å, degrees): 3.6067 3.6067 3.4132 90.00 90.00 90.00
Space group P4/mmm (No. 123)
Unique sites:
Hg 0.0000 0.0000 0.0000 (multiplicity 1)
C 0.0000 0.5000 0.5000 (multiplicity 2)
C 0.5000 0.5000 0.0000 (multiplicity 1)

---

TaSbBr2 | GGA-PBEsol | optimized geometry

Properties
ρ = 8.224 g/cm³
raw formation energy = -37.9 meV per atom

Lattice parameters (Å, degrees): 3.1026 3.1026 9.7009 90.00 90.00 90.00
Space group P4mm (No. 99)
Unique sites:
Ta 0.0000 0.0000 0.0000 (multiplicity 1)
Sb 0.5000 0.5000 0.7845 (multiplicity 1)
Br 0.0000 0.0000 0.4707 (multiplicity 1)
Br 0.5000 0.5000 0.1689 (multiplicity 1)

---

> What is the ρ in the second record?

13.704 g/cm³

---

> ρ of number 3 (HgC3)?

8.850 g/cm³

---

> ρ of number 4 (TaSbBr2)?

8.224 g/cm³